VASP calculation (GGA-PBE) on an optimized crystal structure of CaTmHgSb.

```
data_CaTmHgSb
_cell_length_a 7.533
_cell_length_b 7.533
_cell_length_c 7.533
_cell_angle_alpha 90.00
_cell_angle_beta 90.00
_cell_angle_gamma 90.00
_space_group_name_H-M_alt 'F -4 3 m'
_space_group_IT_number 216
_space_group_name_Hall 'F -4 2 3'
loop_
_atom_site_label
_atom_site_fract_x
_atom_site_fract_y
_atom_site_fract_z
Ca1 0.000 0.000 0.000
Tm1 0.000 0.000 0.500
Hg1 0.250 0.250 0.750
Sb1 0.250 0.250 0.250
```

Density of states at the Fermi level ... 1.34 states/eV per atom
Electronic total energy ... -3.305 eV/atom
E_form (uncorrected) ... -0.580 eV/atom
V ... 26.720 A^3/atom

VASP calculation (GGA-PBE) on an optimized crystal structure of Cs2SbPdI6.

```
data_Cs2SbPdI6
_cell_length_a 8.389
_cell_length_b 8.389
_cell_length_c 11.818
_cell_angle_alpha 90.00
_cell_angle_beta 90.00
_cell_angle_gamma 90.00
_space_group_name_H-M_alt 'I 4/m m m'
_space_group_IT_number 139
_space_group_name_Hall '-I 4 2'
loop_
_atom_site_label
_atom_site_fract_x
_atom_site_fract_y
_atom_site_fract_z
Cs1 0.000 0.500 0.250
Sb1 0.000 0.000 0.000
Pd1 0.000 0.000 0.500
I1 0.000 0.000 0.258
I2 0.242 0.242 0.500
```

Density of states at the Fermi level ... 0.30 states/eV per atom
Electronic total energy ... -2.806 eV/atom
E_form (uncorrected) ... -0.774 eV/atom
V ... 41.588 A^3/atom

VASP calculation (GGA-PBE) on an optimized crystal structure of Tc3GeCl.

```
data_Tc3GeCl
_cell_length_a 4.372
_cell_length_b 4.372
_cell_length_c 4.372
_cell_angle_alpha 90.00
_cell_angle_beta 90.00
_cell_angle_gamma 90.00
_space_group_name_H-M_alt 'P m -3 m'
_space_group_IT_number 221
_space_group_name_Hall '-P 4 2 3'
loop_
_atom_site_label
_atom_site_fract_x
_atom_site_fract_y
_atom_site_fract_z
Tc1 0.000 0.000 0.500
Ge1 0.500 0.500 0.500
Cl1 0.000 0.000 0.000
```

Density of states at the Fermi level ... 1.14 states/eV per atom
Electronic total energy ... -6.318 eV/atom
E_form (uncorrected) ... 1.195 eV/atom
V ... 16.710 A^3/atom

VASP calculation (GGA-PBE) on an optimized crystal structure of NdBi2O5.

```
data_NdBi2O5
_cell_length_a 6.504
_cell_length_b 6.504
_cell_length_c 10.994
_cell_angle_alpha 90.00
_cell_angle_beta 90.00
_cell_angle_gamma 90.00
_space_group_name_H-M_alt 'I 4/m c m'
_space_group_IT_number 140
_space_group_name_Hall '-I 4 2c'
loop_
_atom_site_label
_atom_site_fract_x
_atom_site_fract_y
_atom_site_fract_z
Nd1 0.000 0.000 0.250
Bi1 0.168 0.332 0.000
O1 0.000 0.000 0.000
O2 0.171 0.329 0.356
```

Density of states at the Fermi level ... 0.64 states/eV per atom
Electronic total energy ... -6.259 eV/atom
E_form (uncorrected) ... -1.594 eV/atom
V ... 14.532 A^3/atom

VASP calculation (GGA-PBE) on an optimized crystal structure of BaMoCl.

```
data_BaMoCl
_cell_length_a 7.466
_cell_length_b 7.466
_cell_length_c 7.466
_cell_angle_alpha 90.00
_cell_angle_beta 90.00
_cell_angle_gamma 90.00
_space_group_name_H-M_alt 'F -4 3 m'
_space_group_IT_number 216
_space_group_name_Hall 'F -4 2 3'
loop_
_atom_site_label
_atom_site_fract_x
_atom_site_fract_y
_atom_site_fract_z
Ba1 0.000 0.000 0.000
Mo1 0.000 0.000 0.500
Cl1 0.250 0.250 0.250
```

Density of states at the Fermi level ... 0.13 states/eV per atom
Electronic total energy ... -4.357 eV/atom
E_form (uncorrected) ... 0.509 eV/atom
V ... 34.678 A^3/atom

VASP calculation (GGA-PBE) on an optimized crystal structure of GePb2Au5.

```
data_GePb2Au5
_cell_length_a 10.015
_cell_length_b 5.912
_cell_length_c 12.697
_cell_angle_alpha 90.00
_cell_angle_beta 90.00
_cell_angle_gamma 90.00
_space_group_name_H-M_alt 'P n m a'
_space_group_IT_number 62
_space_group_name_Hall '-P 2ac 2n'
loop_
_atom_site_label
_atom_site_fract_x
_atom_site_fract_y
_atom_site_fract_z
Ge1 0.198 0.250 0.060
Pb1 0.112 0.750 0.200
Pb2 0.197 0.250 0.398
Au1 0.000 0.000 0.000
Au2 0.002 0.750 0.801
Au3 0.098 0.750 0.438
Au4 0.123 0.012 0.644
```

Density of states at the Fermi level ... 0.30 states/eV per atom
Energy relative to the elements ... 0.6 kJ per mole of atoms
Electronic total energy ... -3.546 eV/atom
V ... 23.493 A^3/atom